Computed, not measured: Mg2ScMn at its PBEsol-relaxed geometry at the meta-GGA SCAN level of DFT.

Properties
For the calculated total energy, the calculation gives -10.70 eV per atom. The density of states at the Fermi level is 1.8 states/eV per cell. Its space group is P4mm, No. 99. The calculation puts the formation energy at -0.09 eV per atom. The calculation puts the total moment at 3.0 μB/f.u.

Cell lengths 3.103, 3.103, 8.077 Å; angles 90.00, 90.00, 90.00 degrees
Fractional coordinates of all 4 atoms:
Sc 0.000 0.000 0.709
Mg 0.500 0.500 0.006
Mg 0.000 0.000 0.284
Mn 0.500 0.500 0.501

Computed, not measured: In2Hg2Pb at its PBEsol-relaxed geometry at the meta-GGA SCAN level of DFT.

Properties
For the calculated total energy, the calculation gives -55.70 eV per atom. The density of states at the Fermi level is 1.7 states/eV per cell. Its space group is I4/mmm, No. 139. The calculation puts the formation energy at 0.08 eV per atom. The calculation puts the total moment at 0.0 μB/f.u.

Cell lengths 4.445, 4.445, 7.263 Å; angles 107.82, 107.82, 90.00 degrees
Fractional coordinates of all 5 atoms:
Pb 0.000 0.000 0.000
Hg 0.396 0.396 0.791
Hg 0.604 0.604 0.209
In 0.250 0.750 0.500
In 0.750 0.250 0.500

Computed, not measured: ReNiPt at its PBEsol-relaxed geometry at the meta-GGA SCAN level of DFT.

Properties
For the calculated total energy, the calculation gives -52.59 eV per atom. The density of states at the Fermi level is 2.0 states/eV per cell. Its space group is Imm2, No. 44. The calculation puts the formation energy at -0.11 eV per atom. The calculation puts the total moment at 0.0 μB/f.u.

Cell lengths 2.680, 3.762, 4.574 Å; angles 114.29, 107.03, 90.00 degrees
Fractional coordinates of all 3 atoms:
Re 0.338 0.338 0.677
Pt 0.667 0.667 0.333
Ni 0.995 0.995 0.990

Computed, not measured: Li2Ti2O5 at its PBEsol-relaxed geometry at the meta-GGA SCAN level of DFT.

Properties
For the calculated total energy, the calculation gives -10.49 eV per atom. The density of states at the Fermi level is 0.0 states/eV per cell. Its space group is Pbcn, No. 60. The uncorrected formation energy is -2.939 eV/atom. The calculation puts the total moment at 0.0 μB/f.u.

Cell lengths 5.311, 5.782, 15.663 Å; angles 90.00, 90.00, 90.00 degrees
Fractional coordinates of all 36 atoms:
Li 0.319 0.405 0.952
Li 0.681 0.405 0.452
Li 0.819 0.095 0.952
Li 0.181 0.095 0.452
Li 0.819 0.905 0.548
Li 0.181 0.905 0.048
Li 0.319 0.595 0.548
Li 0.681 0.595 0.048
Ti 0.808 0.410 0.642
Ti 0.192 0.410 0.142
Ti 0.692 0.090 0.142
Ti 0.308 0.090 0.642
Ti 0.692 0.910 0.358
Ti 0.308 0.910 0.858
Ti 0.808 0.590 0.858
Ti 0.192 0.590 0.358
O 0.729 0.500 0.750
O 0.271 0.500 0.250
O 0.687 0.407 0.937
O 0.313 0.407 0.437
O 0.151 0.373 0.625
O 0.849 0.373 0.125
O 0.651 0.127 0.625
O 0.349 0.127 0.125
O 0.813 0.093 0.437
O 0.187 0.093 0.937
O 0.771 0.000 0.250
O 0.229 0.000 0.750
O 0.187 0.907 0.563
O 0.813 0.907 0.063
O 0.651 0.873 0.875
O 0.349 0.873 0.375
O 0.151 0.627 0.875
O 0.849 0.627 0.375
O 0.687 0.593 0.563
O 0.313 0.593 0.063

Computed, not measured: BaYRh2 at its PBEsol-relaxed geometry at the meta-GGA SCAN level of DFT.

Properties
For the calculated total energy, the calculation gives -33.99 eV per atom. The density of states at the Fermi level is 3.2 states/eV per cell. Its space group is Imm2, No. 44. The calculation puts the formation energy at -0.25 eV per atom. The calculation puts the total moment at 0.6 μB/f.u.

Cell lengths 3.576, 4.220, 7.289 Å; angles 106.83, 104.20, 90.00 degrees
Fractional coordinates of all 4 atoms:
Ba 0.281 0.781 0.562
Rh 0.025 0.025 0.050
Rh 0.669 0.169 0.338
Y 0.525 0.525 0.050

Computed, not measured: TcGe2SbCl at its PBEsol-relaxed geometry at the meta-GGA SCAN level of DFT.

Properties
For the calculated total energy, the calculation gives -23.25 eV per atom. The density of states at the Fermi level is 5.0 states/eV per cell. Its space group is P4/mmm, No. 123. The uncorrected formation energy is 0.442 eV/atom. The calculation puts the total moment at 0.0 μB/f.u.

Cell lengths 4.347, 4.980, 4.980 Å; angles 90.00, 90.00, 90.00 degrees
Fractional coordinates of all 5 atoms:
Sb 0.500 0.500 0.500
Ge 0.000 0.000 0.500
Ge 0.000 0.500 0.000
Tc 0.000 0.000 0.000
Cl 0.500 0.000 0.000

Computed, not measured: Sr2Cd2Hg at its PBEsol-relaxed geometry at the meta-GGA SCAN level of DFT.

Properties
For the calculated total energy, the calculation gives -35.05 eV per atom. The density of states at the Fermi level is 2.9 states/eV per cell. Its space group is I4/mmm, No. 139. The calculation puts the formation energy at -0.34 eV per atom. The calculation puts the total moment at 0.0 μB/f.u.

Cell lengths 4.065, 4.065, 9.891 Å; angles 101.86, 101.86, 90.00 degrees
Fractional coordinates of all 5 atoms:
Sr 0.401 0.401 0.801
Sr 0.599 0.599 0.199
Hg 0.000 0.000 0.000
Cd 0.250 0.750 0.500
Cd 0.750 0.250 0.500

Computed, not measured: Mg2CdTc at its PBEsol-relaxed geometry at the meta-GGA SCAN level of DFT.

Properties
For the calculated total energy, the calculation gives -18.62 eV per atom. The density of states at the Fermi level is 2.7 states/eV per cell. Its space group is Cmm2, No. 35. The calculation puts the formation energy at 0.24 eV per atom. The calculation puts the total moment at 0.3 μB/f.u.

Cell lengths 2.827, 2.827, 9.423 Å; angles 90.00, 90.00, 106.66 degrees
Fractional coordinates of all 4 atoms:
Cd 0.500 0.500 0.265
Mg 0.000 0.000 0.003
Mg 0.500 0.500 0.727
Tc 0.000 0.000 0.504